A relaxed structure of VSnP2O8, computed with PBE with a Hubbard U.

Cell: 5.0091 6.0051 10.1533 Å, 90.00 90.36 90.00°
With the nearest neighbours (Å) after each atom.
Element x y z (fractional)
V 0.0563 0.2500 0.2720  6 O 2.10-2.27
V 0.9437 0.7500 0.7280  6 O 2.10-2.27
Sn 0.4460 0.2500 0.7777  6 O 2.03-2.16
Sn 0.5540 0.7500 0.2223  6 O 2.03-2.16
P 0.1246 0.7500 0.4056  4 O 1.50-1.60
P 0.3985 0.7500 0.9101  4 O 1.50-1.59
P 0.6015 0.2500 0.0899  4 O 1.50-1.59
P 0.8754 0.2500 0.5944  4 O 1.50-1.60
O 0.1654 0.7500 0.5519  1 P 1.50
O 0.1775 0.2500 0.6275  1 P 1.55
O 0.2540 0.5469 0.8382  1 P 1.59
O 0.2540 0.9531 0.8382  1 P 1.59
O 0.2726 0.5506 0.3320  1 P 1.60
O 0.2726 0.9494 0.3320  1 P 1.60
O 0.3036 0.2500 0.1054  1 P 1.50
O 0.3158 0.7500 0.0572  1 P 1.55
O 0.6842 0.2500 0.9428  1 P 1.55
O 0.6964 0.7500 0.8946  1 P 1.50
O 0.7274 0.0506 0.6680  1 P 1.60
O 0.7274 0.4494 0.6680  1 P 1.60
O 0.7460 0.0469 0.1618  1 P 1.59
O 0.7460 0.4531 0.1618  1 P 1.59
O 0.8225 0.7500 0.3725  1 P 1.55
O 0.8346 0.2500 0.4481  1 P 1.50

Computed properties:
Calculated density in g/cm³: 3.91
Symmetry: P2_1/m, No. 11
DFT total energy in eV per atom: -7.1587
Spin magnetization in μB/f.u.: 3.0
E above lowest polymorph in meV per atom: 0